Entry 1:
Entry from the Open Quantum Materials Database: YTlZnTe3 after structural relaxation (PBE).

abc: 12.533 4.495 13.369
angles: 90.00 90.00 90.00
Space group Pnma (No. 62)
Symmetry-distinct sites (fractional):
Y 0.025 0.250 0.182
Tl 0.181 0.250 0.494
Zn 0.245 0.750 0.300
Te 0.038 0.750 0.345
Te 0.097 0.250 0.935
Te 0.223 0.750 0.689

**E above lowest polymorph**: 64 meV/atom


Entry 2:
Entry from the Open Quantum Materials Database: HoMgPa after structural relaxation (PBE).

abc: 7.197 7.197 7.197
angles: 90.00 90.00 90.00
Space group F-43m (No. 216)
Symmetry-distinct sites (fractional):
Ho 0.000 0.000 0.000
Mg 0.250 0.250 0.250
Pa 0.000 0.000 0.500

**E above lowest polymorph**: 0 meV/atom


Entry 3:
Entry from the Open Quantum Materials Database: SmDyOs after structural relaxation (PBE).

abc: 6.721 6.721 6.721
angles: 90.00 90.00 90.00
Space group F-43m (No. 216)
Symmetry-distinct sites (fractional):
Sm 0.000 0.000 0.000
Dy 0.250 0.250 0.750
Os 0.250 0.250 0.250

**Calculated total energy**: -6.075 eV/atom


Entry 4:
Entry from the Open Quantum Materials Database: Cd2P2O7 after structural relaxation (PBE).

abc: 4.592 5.548 5.608
angles: 104.69 96.74 96.61
Space group P1 (No. 1)
Symmetry-distinct sites (fractional):
Cd 0.000 0.000 0.000
Cd 0.001 0.606 0.396
P 0.417 0.522 0.912
P 0.583 0.088 0.481
O 0.237 0.387 0.066
O 0.241 0.685 0.784
O 0.290 0.938 0.334
O 0.501 0.312 0.690
O 0.709 0.669 0.064
O 0.760 0.930 0.614
O 0.761 0.217 0.320

**Calculated total energy**: -6.192 eV/atom


Entry 5:
Entry from the Open Quantum Materials Database: SmH2 after structural relaxation (PBE).

abc: 6.549 3.782 6.549
angles: 90.00 109.42 90.00
Space group C2/m (No. 12)
Symmetry-distinct sites (fractional):
Sm 0.250 0.000 0.250
H 0.124 0.000 0.875
H 0.125 0.500 0.375

**Calculated total energy**: -4.480 eV/atom


Entry 6:
Entry from the Open Quantum Materials Database: HgOsSeO after structural relaxation (PBE).

abc: 4.110 4.110 9.995
angles: 90.00 90.00 90.00
Space group P4/nmm (No. 129, origin choice 2)
Symmetry-distinct sites (fractional):
Hg 0.250 0.750 0.000
Os 0.250 0.250 0.451
Se 0.250 0.250 0.221
O 0.250 0.750 0.500

**E above lowest polymorph**: 545 meV/atom


Entry 7:
Entry from the Open Quantum Materials Database: InFe2Pb after structural relaxation (PBE).

abc: 6.360 6.360 6.360
angles: 90.00 90.00 90.00
Space group Pm-3m (No. 221)
Symmetry-distinct sites (fractional):
In 0.000 0.000 0.000
In 0.000 0.000 0.500
Fe 0.249 0.249 0.249
Pb 0.000 0.500 0.500
Pb 0.500 0.500 0.500

**Calculated total energy**: -5.175 eV/atom


Entry 8:
Entry from the Open Quantum Materials Database: DyAlO3 after structural relaxation (PBE).

abc: 3.672 3.672 3.745
angles: 90.00 90.00 90.00
Space group P4mm (No. 99)
Symmetry-distinct sites (fractional):
Dy 0.000 0.000 0.000
Al 0.500 0.500 0.454
O 0.000 0.500 0.428
O 0.500 0.500 0.944

**Calculated total energy**: -7.847 eV/atom


Entry 9:
Entry from the Open Quantum Materials Database: Li2Zn2Ga2IrAu after structural relaxation (PBE).

abc: 4.323 4.323 6.251
angles: 90.00 90.00 90.00
Space group P-4m2 (No. 115)
Symmetry-distinct sites (fractional):
Li 0.000 0.000 0.000
Li 0.500 0.500 0.500
Zn 0.000 0.500 0.240
Ga 0.000 0.500 0.771
Ir 0.500 0.500 0.000
Au 0.000 0.000 0.500

**Calculated total energy**: -3.479 eV/atom


Entry 10:
Entry from the Open Quantum Materials Database: Na2Tm after structural relaxation (PBE).

abc: 8.843 8.843 8.843
angles: 90.00 90.00 90.00
Space group Fd-3m (No. 227, origin choice 2)
Symmetry-distinct sites (fractional):
Na 0.000 0.000 0.000
Tm 0.125 0.125 0.625

**E above lowest polymorph**: 10 meV/atom


Entry 11:
Entry from the Open Quantum Materials Database: NbNi4Pt after structural relaxation (PBE).

abc: 6.682 6.682 6.682
angles: 90.00 90.00 90.00
Space group F-43m (No. 216)
Symmetry-distinct sites (fractional):
Nb 0.000 0.000 0.000
Ni 0.125 0.125 0.375
Pt 0.250 0.250 0.750

**Calculated total energy**: -6.761 eV/atom


Entry 12:
Entry from the Open Quantum Materials Database: Gd3Mg2CdIn2Pd after structural relaxation (PBE).

abc: 4.523 13.010 7.547
angles: 90.00 90.00 90.00
Space group Amm2 (No. 38)
Symmetry-distinct sites (fractional):
Gd 0.000 0.000 0.000
Gd 0.000 0.200 0.611
Mg 0.500 0.115 0.294
Cd 0.500 0.000 0.646
In 0.500 0.169 0.912
Pd 0.000 0.000 0.397

**Calculated total energy**: -3.683 eV/atom


Entry 13:
Entry from the Open Quantum Materials Database: Lu2GeN after structural relaxation (PBE).

abc: 10.222 5.898 14.396
angles: 90.00 103.72 90.00
Space group C2/c (No. 15)
Symmetry-distinct sites (fractional):
Lu 0.051 0.084 0.406
Lu 0.114 0.416 0.592
Lu 0.220 0.417 0.908
Ge 0.000 0.436 0.250
Ge 0.170 0.091 0.750
N 0.083 0.249 0.000
N 0.250 0.250 0.500

**Calculated total energy**: -6.720 eV/atom


Entry 14:
Entry from the Open Quantum Materials Database: HfNbPb after structural relaxation (PBE).

abc: 6.768 6.768 6.768
angles: 90.00 90.00 90.00
Space group F-43m (No. 216)
Symmetry-distinct sites (fractional):
Hf 0.000 0.000 0.000
Nb 0.250 0.250 0.250
Pb 0.000 0.000 0.500

**E above lowest polymorph**: 0 meV/atom


Entry 15:
Entry from the Open Quantum Materials Database: Tm2InSi after structural relaxation (PBE).

abc: 4.044 4.360 10.903
angles: 90.00 90.00 90.00
Space group Amm2 (No. 38)
Symmetry-distinct sites (fractional):
Tm 0.000 0.000 0.000
Tm 0.500 0.000 0.282
In 0.000 0.000 0.717
Si 0.500 0.000 0.550

**Calculated total energy**: -4.824 eV/atom


Entry 16:
Entry from the Open Quantum Materials Database: ErSn2Se3 after structural relaxation (PBE).

abc: 4.0409 4.0409 11.6585
angles: 90.00 90.00 120.00
Space group P-3m1 (No. 164)
Symmetry-distinct sites (fractional):
Er 0.0000 0.0000 0.0000
Sn 0.3333 0.6667 0.6616
Se 0.0000 0.0000 0.5000
Se 0.3333 0.6667 0.1385

**Calculated total energy**: -4.712 eV/atom


Entry 17:
Entry from the Open Quantum Materials Database: Dy2ErFeCo6Ni2 after structural relaxation (PBE).

abc: 4.9749 4.9749 24.1568
angles: 90.00 90.00 120.00
Space group R-3m (No. 166, hexagonal axes)
Symmetry-distinct sites (fractional):
Dy 0.0000 0.0000 0.1388
Er 0.0000 0.0000 0.0000
Fe 0.0000 0.0000 0.5000
Co 0.0023 0.5012 0.9180
Ni 0.0000 0.0000 0.3337

**Calculated total energy**: -6.537 eV/atom


Entry 18:
Entry from the Open Quantum Materials Database: LaDyGe2Au2 after structural relaxation (PBE).

abc: 4.5165 4.5165 7.6575
angles: 90.00 90.00 120.00
Space group P3m1 (No. 156)
Symmetry-distinct sites (fractional):
La 0.0000 0.0000 0.0000
Dy 0.0000 0.0000 0.4955
Ge 0.3333 0.6667 0.7010
Ge 0.6667 0.3333 0.2197
Au 0.3333 0.6667 0.3001
Au 0.6667 0.3333 0.7451

**Calculated total energy**: -5.083 eV/atom


Entry 19:
Entry from the Open Quantum Materials Database: Co2W after structural relaxation (PBE).

abc: 10.153 10.153 10.153
angles: 90.00 90.00 90.00
Space group Fd-3m (No. 227, origin choice 2)
Symmetry-distinct sites (fractional):
Co 0.000 0.000 0.000
W 0.125 0.125 0.125

**Calculated total energy**: -5.758 eV/atom


Entry 20:
Entry from the Open Quantum Materials Database: LiGdNi after structural relaxation (PBE).

abc: 6.311 6.311 6.311
angles: 90.00 90.00 90.00
Space group F-43m (No. 216)
Symmetry-distinct sites (fractional):
Li 0.000 0.000 0.000
Gd 0.000 0.000 0.500
Ni 0.250 0.250 0.750

**E above lowest polymorph**: 0 meV/atom